The following is a DFT calculation (PBE-GGA) of an optimized crystal structure of Cs5Rb4Au3.

Computed properties:
Uncorrected energy (eV/cell): -39.37
Calculated formation energy (kJ/mol of formula units): -166
Calculated volume (Å³/cell): 1856.32
Magnetization (μB/atom): 0.000

Lattice parameters (Å, degrees): 26.5676 7.0837 10.0880 90.00 102.11 90.00
With the nearest neighbours (Å) after each atom.
Space group C2/m (No. 12)
One atom of each set of equivalent atoms:
Cs: 0.0000 0.0000 0.0000 (multiplicity 2)  2 Au 3.54
Cs: 0.0932 0.5000 0.7776 (multiplicity 4)  2 Au 3.58-3.67
Cs: 0.1055 0.5000 0.2965 (multiplicity 4)  2 Au 3.62-3.64
Rb: 0.2061 0.0000 0.0905 (multiplicity 4)  1 Au 3.47
Rb: 0.2056 0.0000 0.5873 (multiplicity 4)  3 Au 3.53-3.56
Au: 0.0000 0.5000 0.0000 (multiplicity 2)  6 Cs 3.54-3.67
Au: 0.2000 0.5000 0.6129 (multiplicity 4)  4 Rb 3.47-3.56, 2 Cs 3.58-3.62